# 1
Density functional theory data (PBE-GGA) for a relaxed CaHg2Pt crystal.

Calculated values
DFT formation energy (kJ per mole of atoms): -38.8
Magnetization (μB per formula unit): 0.0
VASP energy (eV/f.u.): -10.26

a b c (Å): 7.0099 7.0099 7.0099
angles (deg): 90.00 90.00 90.00
Closest atoms and distances in Å follow each position.
Positions (direct):
Ca1 0.0000 0.0000 0.0000  8 Hg 3.04
Ca2 0.0000 0.5000 0.5000  8 Hg 3.04
Ca3 0.5000 0.0000 0.5000  8 Hg 3.04
Ca4 0.5000 0.5000 0.0000  8 Hg 3.04
Hg1 0.2500 0.2500 0.2500  4 Ca 3.04, 4 Pt 3.04
Hg2 0.2500 0.2500 0.7500  4 Ca 3.04, 4 Pt 3.04
Hg3 0.2500 0.7500 0.2500  4 Ca 3.04, 4 Pt 3.04
Hg4 0.2500 0.7500 0.7500  4 Ca 3.04, 4 Pt 3.04
Hg5 0.7500 0.2500 0.2500  4 Ca 3.04, 4 Pt 3.04
Hg6 0.7500 0.2500 0.7500  4 Ca 3.04, 4 Pt 3.04
Hg7 0.7500 0.7500 0.2500  4 Ca 3.04, 4 Pt 3.04
Hg8 0.7500 0.7500 0.7500  4 Ca 3.04, 4 Pt 3.04
Pt1 0.0000 0.0000 0.5000  8 Hg 3.04
Pt2 0.0000 0.5000 0.0000  8 Hg 3.04
Pt3 0.5000 0.0000 0.0000  8 Hg 3.04
Pt4 0.5000 0.5000 0.5000  8 Hg 3.04

***

# 2
Density functional theory data (PBE-GGA) for a relaxed Ca3HgPt crystal.

Calculated values
Energy above the lowest structure with this stoichiometry (kJ/mol of atoms): 0.0
DFT formation energy (kJ per mole of atoms): -63.1
Magnetization (μB per formula unit): 0.0
VASP energy (eV/f.u.): -15.62

a b c (Å): 9.1169 7.4724 8.6371
angles (deg): 90.00 100.95 90.00
Closest atoms and distances in Å follow each position.
Positions (direct):
Ca1 0.0418 0.0028 0.2073  4 Pt 2.93-3.10
Ca2 0.0418 0.4972 0.7073  4 Pt 2.93-3.10
Ca3 0.2645 0.6444 0.0765  2 Pt 2.92-3.05, 3 Hg 3.13-3.22
Ca4 0.2645 0.8556 0.5765  2 Pt 2.92-3.05, 3 Hg 3.13-3.22
Ca5 0.3449 0.1820 0.9627  1 Pt 2.91
Ca6 0.3449 0.3180 0.4627  1 Pt 2.91
Ca7 0.6551 0.6820 0.5373  1 Pt 2.91
Ca8 0.6551 0.8180 0.0373  1 Pt 2.91
Ca9 0.7355 0.1444 0.4235  2 Pt 2.92-3.05, 3 Hg 3.13-3.22
Ca10 0.7355 0.3556 0.9235  2 Pt 2.92-3.05, 3 Hg 3.13-3.22
Ca11 0.9582 0.5028 0.2927  4 Pt 2.93-3.10
Ca12 0.9582 0.9972 0.7927  4 Pt 2.93-3.10
Hg1 0.4287 0.5492 0.7885  8 Ca 3.13-3.49
Hg2 0.4287 0.9508 0.2885  8 Ca 3.13-3.49
Hg3 0.5713 0.0492 0.7115  8 Ca 3.13-3.49
Hg4 0.5713 0.4508 0.2115  8 Ca 3.13-3.49
Pt1 0.0593 0.1797 0.5129  1 Pt 2.89, 7 Ca 2.91-3.10
Pt2 0.0593 0.3203 0.0129  1 Pt 2.89, 7 Ca 2.91-3.10
Pt3 0.9407 0.6797 0.9871  1 Pt 2.89, 7 Ca 2.91-3.10
Pt4 0.9407 0.8203 0.4871  1 Pt 2.89, 7 Ca 2.91-3.10

***

# 3
Density functional theory data (PBE-GGA) for a relaxed Ca2HgPt2 crystal.

Calculated values
DFT formation energy (kJ per mole of atoms): -77.7
Magnetization (μB per formula unit): 0.0
VASP energy (eV/f.u.): -20.41

a b c (Å): 5.8060 5.8060 8.3998
angles (deg): 105.00 105.00 57.47
Closest atoms and distances in Å follow each position.
Positions (direct):
Ca1 0.0037 0.6988 0.8510  6 Pt 2.98-3.31, 1 Hg 3.30
Ca2 0.3012 0.9963 0.6490  6 Pt 2.98-3.31, 1 Hg 3.30
Ca3 0.6988 0.0037 0.3510  6 Pt 2.98-3.31, 1 Hg 3.30
Ca4 0.9963 0.3012 0.1490  6 Pt 2.98-3.31, 1 Hg 3.30
Hg1 0.3257 0.6743 0.2500  4 Pt 2.78-2.84
Hg2 0.6743 0.3257 0.7500  4 Pt 2.78-2.84
Pt1 0.2168 0.5085 0.4910  1 Pt 2.62, 2 Hg 2.78-2.84
Pt2 0.4915 0.7832 0.0090  1 Pt 2.62, 2 Hg 2.78-2.84
Pt3 0.5085 0.2168 0.9910  1 Pt 2.62, 2 Hg 2.78-2.84
Pt4 0.7832 0.4915 0.5090  1 Pt 2.62, 2 Hg 2.78-2.84

***

# 4
Density functional theory data (PBE-GGA) for a relaxed CaHg2Pt crystal.

Calculated values
DFT formation energy (kJ per mole of atoms): -35.4
Magnetization (μB per formula unit): 0.0
VASP energy (eV/f.u.): -10.11

a b c (Å): 4.3619 5.0141 4.4826
angles (deg): 90.00 96.06 90.00
Closest atoms and distances in Å follow each position.
Positions (direct):
Ca1 0.0000 0.0000 0.0000  4 Pt 2.96-3.29, 4 Hg 3.12
Hg1 0.2826 0.5000 0.7202  3 Hg 2.88-2.99, 2 Pt 2.89, 2 Ca 3.12
Hg2 0.7174 0.5000 0.2798  3 Hg 2.88-2.99, 2 Pt 2.89, 2 Ca 3.12
Pt1 0.5000 0.0000 0.5000  4 Hg 2.89, 2 Ca 2.96

***

# 5
Density functional theory data (PBE-GGA) for a relaxed Ca2Hg2Pt crystal.

Calculated values
Energy above the lowest structure with this stoichiometry (kJ/mol of atoms): 11.4
DFT formation energy (kJ per mole of atoms): -33.0
Magnetization (μB per formula unit): 0.0
VASP energy (eV/f.u.): -12.36

a b c (Å): 7.6139 7.6139 4.7748
angles (deg): 90.00 90.00 90.00
Closest atoms and distances in Å follow each position.
Positions (direct):
Ca1 0.1692 0.3308 0.0000  2 Pt 2.83, 2 Hg 3.13
Ca2 0.3308 0.8308 0.0000  2 Pt 2.83, 2 Hg 3.13
Ca3 0.6692 0.1692 0.0000  2 Pt 2.83, 2 Hg 3.13
Ca4 0.8308 0.6692 0.0000  2 Pt 2.83, 2 Hg 3.13
Hg1 0.1432 0.6432 0.5000  1 Hg 3.08, 6 Ca 3.13-3.38
Hg2 0.3568 0.1432 0.5000  1 Hg 3.08, 6 Ca 3.13-3.38
Hg3 0.6432 0.8568 0.5000  1 Hg 3.08, 6 Ca 3.13-3.38
Hg4 0.8568 0.3568 0.5000  1 Hg 3.08, 6 Ca 3.13-3.38
Pt1 0.0000 0.0000 0.0000  4 Ca 2.83
Pt2 0.5000 0.5000 0.0000  4 Ca 2.83

***

# 6
Density functional theory data (PBE-GGA) for a relaxed CaHgPt crystal.

Calculated values
DFT formation energy (kJ per mole of atoms): -52.5
Magnetization (μB per formula unit): 0.0
VASP energy (eV/f.u.): -9.98

a b c (Å): 3.7407 3.7407 9.3453
angles (deg): 90.00 90.00 90.00
Closest atoms and distances in Å follow each position.
Positions (direct):
Ca1 0.0000 0.0000 0.0000  5 Hg 2.98-3.14, 5 Pt 3.03-3.19
Ca2 0.5000 0.5000 0.5000  5 Hg 2.98-3.14, 5 Pt 3.03-3.19
Hg1 0.0000 0.0000 0.3184  5 Ca 2.98-3.14, 5 Pt 3.04-3.18
Hg2 0.5000 0.5000 0.8184  5 Ca 2.98-3.14, 5 Pt 3.04-3.18
Pt1 0.0000 0.0000 0.6590  5 Ca 3.03-3.19, 5 Hg 3.04-3.18
Pt2 0.5000 0.5000 0.1590  5 Ca 3.03-3.19, 5 Hg 3.04-3.18

***

# 7
Density functional theory data (PBE-GGA) for a relaxed Ca4Hg2Pt crystal.

Calculated values
Energy above the lowest structure with this stoichiometry (kJ/mol of atoms): 0.0
DFT formation energy (kJ per mole of atoms): -51.0
Magnetization (μB per formula unit): 0.0
VASP energy (eV/f.u.): -18.35

a b c (Å): 9.0587 9.0587 9.0587
angles (deg): 33.39 33.39 33.39
Closest atoms and distances in Å follow each position.
Positions (direct):
Ca1 0.1197 0.1197 0.1197  1 Pt 3.07, 4 Hg 3.12-3.24
Ca2 0.3692 0.3692 0.3692  3 Pt 3.14, 4 Hg 3.16-3.28
Ca3 0.6308 0.6308 0.6308  3 Pt 3.14, 4 Hg 3.16-3.28
Ca4 0.8803 0.8803 0.8803  1 Pt 3.07, 4 Hg 3.12-3.24
Hg1 0.2459 0.2459 0.2459  8 Ca 3.12-3.28
Hg2 0.7541 0.7541 0.7541  8 Ca 3.12-3.28
Pt1 0.0000 0.0000 0.0000  8 Ca 3.07-3.14

***

# 8
Density functional theory data (PBE-GGA) for a relaxed Ca3HgPt2 crystal.

Calculated values
Energy above the lowest structure with this stoichiometry (kJ/mol of atoms): 2.5
DFT formation energy (kJ per mole of atoms): -73.4
Magnetization (μB per formula unit): 0.0
VASP energy (eV/f.u.): -22.95

a b c (Å): 5.0631 14.9592 3.6580
angles (deg): 90.00 90.00 90.00
Closest atoms and distances in Å follow each position.
Positions (direct):
Ca1 0.0000 0.0000 0.0000  4 Pt 3.03, 4 Hg 3.12
Ca2 0.0000 0.3228 0.0000  6 Pt 3.03-3.13, 2 Hg 3.22, 2 Ca 3.34
Ca3 0.0000 0.6772 0.0000  6 Pt 3.03-3.13, 2 Hg 3.22, 2 Ca 3.34
Ca4 0.5000 0.1772 0.0000  6 Pt 3.03-3.13, 2 Hg 3.22, 2 Ca 3.34
Ca5 0.5000 0.5000 0.0000  4 Pt 3.03, 4 Hg 3.12
Ca6 0.5000 0.8228 0.0000  6 Pt 3.03-3.13, 2 Hg 3.22, 2 Ca 3.34
Hg1 0.0000 0.5000 0.5000  8 Ca 3.12-3.22
Hg2 0.5000 0.0000 0.5000  8 Ca 3.12-3.22
Pt1 0.0000 0.1615 0.5000  8 Ca 3.03-3.13
Pt2 0.0000 0.8385 0.5000  8 Ca 3.03-3.13
Pt3 0.5000 0.3385 0.5000  8 Ca 3.03-3.13
Pt4 0.5000 0.6615 0.5000  8 Ca 3.03-3.13